A | ## LaBeCu3 (PBE-GGA)

Data for an optimized crystal structure of LaBeCu3.

a = 5.1692 Å, b = 6.0480 Å, c = 6.0477 Å
α = 120.03°, β = 90.00°, γ = 90.00°
Last column: nearest neighbours and their distance in Å.
Fractional coordinates of all 10 atoms:
La (0.7499, 0.6667, 0.3336)  12 Cu 3.02-3.03
La (0.2501, 0.3333, 0.6664)  12 Cu 3.02-3.03
Be (0.0000, 0.0000, 0.0000)  6 Cu 2.33, 2 Be 2.58
Be (0.5000, 0.0000, 0.0000)  6 Cu 2.33, 2 Be 2.58
Cu (0.7501, 0.6304, 0.8155)  2 Be 2.33
Cu (0.2499, 0.8154, 0.6305)  2 Be 2.33
Cu (0.2499, 0.3696, 0.1845)  2 Be 2.33
Cu (0.7501, 0.1846, 0.3695)  2 Be 2.33
Cu (0.2499, 0.8151, 0.1846)  2 Be 2.33
Cu (0.7501, 0.1849, 0.8154)  2 Be 2.33

Summary:
- M_tot: 0.00 μB per formula unit

=====

B | ## LaBeCu3 (PBE-GGA)

Data for an optimized crystal structure of LaBeCu3.

a = 4.3730 Å, b = 4.3730 Å, c = 4.3730 Å
α = 90.00°, β = 90.00°, γ = 90.00°
Last column: nearest neighbours and their distance in Å.
Fractional coordinates of all 5 atoms:
Be (0.0000, 0.0000, 0.0000)  6 Cu 2.19
Cu (0.0000, 0.5000, 0.0000)  2 Be 2.19
Cu (0.0000, 0.0000, 0.5000)  2 Be 2.19
Cu (0.5000, 0.0000, 0.0000)  2 Be 2.19
La (0.5000, 0.5000, 0.5000)  12 Cu 3.09

Summary:
- M_tot: 0.00 μB per formula unit

=====

Least stable: B

=====

A | ## LaBe2Cu (PBE-GGA)

Data for an optimized crystal structure of LaBe2Cu.

a = 3.8722 Å, b = 3.8721 Å, c = 5.6907 Å
α = 69.69°, β = 69.69°, γ = 60.07°
Last column: nearest neighbours and their distance in Å.
Fractional coordinates of all 4 atoms:
Be (0.9385, 0.9385, 0.1838)  3 Be 2.26, 3 Cu 2.34-2.35
Be (0.2512, 0.2512, 0.2455)  3 Be 2.26, 3 Cu 2.27
Cu (0.5600, 0.5600, 0.3184)  6 Be 2.27-2.35
La (0.7503, 0.7503, 0.7523)  4 Cu 2.95-3.20, 4 Be 2.96-3.18

Summary:
- M_tot: 0.00 μB per formula unit

=====

B | ## LaBe2Cu (PBE-GGA)

Data for an optimized crystal structure of LaBe2Cu.

a = 4.5409 Å, b = 4.5409 Å, c = 4.5409 Å
α = 60.00°, β = 60.00°, γ = 60.00°
Last column: nearest neighbours and their distance in Å.
Fractional coordinates of all 4 atoms:
Be (0.2500, 0.2500, 0.2500)  4 La 2.78, 4 Cu 2.78
Be (0.7500, 0.7500, 0.7500)  4 La 2.78, 4 Cu 2.78
Cu (0.0000, 0.0000, 0.0000)  8 Be 2.78
La (0.5000, 0.5000, 0.5000)  8 Be 2.78

Summary:
- M_tot: 0.00 μB per formula unit

=====

Least stable: B

=====

A | ## LaBe2Cu (PBE-GGA)

Data for an optimized crystal structure of LaBe2Cu.

a = 4.6952 Å, b = 4.6953 Å, c = 4.0802 Å
α = 116.06°, β = 116.06°, γ = 89.18°
Last column: nearest neighbours and their distance in Å.
Fractional coordinates of all 4 atoms:
Be (0.0858, 0.9142, 0.0000)  2 Be 2.25, 1 Cu 2.25
Be (0.2308, 0.7692, 0.5000)  2 Be 2.25, 2 Cu 2.42
Cu (0.4277, 0.5723, 0.0000)  3 Be 2.25-2.42
La (0.7557, 0.2443, 0.5000)  5 Be 2.86-3.13, 4 Cu 2.87-2.97

Summary:
- M_tot: 0.00 μB per formula unit

=====

B | ## LaBe2Cu (PBE-GGA)

Data for an optimized crystal structure of LaBe2Cu.

a = 2.9299 Å, b = 2.9282 Å, c = 7.0481 Å
α = 90.00°, β = 90.00°, γ = 90.00°
Last column: nearest neighbours and their distance in Å.
Fractional coordinates of all 4 atoms:
Be (0.0000, 0.0000, 0.0840)  1 Cu 2.31, 4 Be 2.37
Be (0.5000, 0.5000, 0.2485)  4 Cu 2.37, 4 Be 2.37
Cu (0.0000, 0.0000, 0.4122)  5 Be 2.31-2.37
La (0.5000, 0.5000, 0.7553)  4 La 2.93, 4 Be 3.11, 4 Cu 3.18

Summary:
- M_tot: 0.00 μB per formula unit

=====

C | ## LaBe2Cu (PBE-GGA)

Data for an optimized crystal structure of LaBe2Cu.

a = 3.2622 Å, b = 4.6359 Å, c = 4.6235 Å
α = 90.00°, β = 90.00°, γ = 90.00°
Last column: nearest neighbours and their distance in Å.
Fractional coordinates of all 4 atoms:
Be (0.0000, 0.0000, 0.0000)  4 Cu 2.83, 4 Be 2.83
Be (0.5000, 0.5000, 0.0000)  4 La 2.83, 4 Be 2.83
Cu (0.5000, 0.0000, 0.5000)  4 Be 2.83, 4 La 2.83
La (0.0000, 0.5000, 0.5000)  4 Be 2.83, 4 Cu 2.83

Summary:
- M_tot: 0.00 μB per formula unit

=====

D | ## LaBe2Cu (PBE-GGA)

Data for an optimized crystal structure of LaBe2Cu.

a = 5.6820 Å, b = 5.6820 Å, c = 5.6820 Å
α = 39.63°, β = 39.63°, γ = 39.63°
Last column: nearest neighbours and their distance in Å.
Fractional coordinates of all 4 atoms:
Be (0.9385, 0.9385, 0.9385)  3 Cu 2.25, 3 Be 2.33
Be (0.5615, 0.5615, 0.5615)  3 Cu 2.25, 3 Be 2.33
Cu (0.2500, 0.2500, 0.2500)  6 Be 2.25
La (0.7500, 0.7500, 0.7500)  8 Be 2.96-3.18

Summary:
- M_tot: 0.00 μB per formula unit

=====

Least stable: C

=====

A | ## LaBe2Cu (PBE-GGA)

Data for an optimized crystal structure of LaBe2Cu.

a = 4.6658 Å, b = 4.6658 Å, c = 4.6658 Å
α = 128.22°, β = 110.38°, γ = 91.89°
Last column: nearest neighbours and their distance in Å.
Fractional coordinates of all 4 atoms:
Be (0.9158, 0.9158, 0.0000)  1 Be 2.15, 2 Cu 2.30
Be (0.5842, 0.5842, 0.0000)  1 Be 2.15, 2 Cu 2.30
Cu (0.7500, 0.2500, 0.5000)  4 Be 2.30
La (0.2500, 0.7500, 0.5000)  8 Be 2.87-2.98

Summary:
- M_tot: 0.00 μB per formula unit

=====

B | ## LaBe2Cu (PBE-GGA)

Data for an optimized crystal structure of LaBe2Cu.

a = 3.7248 Å, b = 3.0657 Å, c = 5.9639 Å
α = 74.86°, β = 90.00°, γ = 90.00°
Last column: nearest neighbours and their distance in Å.
Fractional coordinates of all 4 atoms:
Be (0.0000, 0.1451, 0.0865)  2 Be 2.13, 2 Cu 2.19-2.20
Be (0.5000, 0.0527, 0.2655)  2 Be 2.13
Cu (0.0000, 0.5067, 0.3593)  2 Be 2.19-2.20
La (0.5000, 0.7955, 0.7887)  7 Be 2.96-3.14, 2 La 3.07

Summary:
- M_tot: 0.00 μB per formula unit

=====

Least stable: A

=====

A | ## LaBe2Cu (PBE-GGA)

Data for an optimized crystal structure of LaBe2Cu.

a = 2.9683 Å, b = 2.9662 Å, c = 6.9289 Å
α = 90.00°, β = 90.00°, γ = 90.00°
Last column: nearest neighbours and their distance in Å.
Fractional coordinates of all 4 atoms:
Be (0.0000, 0.0000, 0.0868)  1 Be 2.26, 4 Cu 2.38
Be (0.0000, 0.0000, 0.4132)  1 Be 2.26, 4 Cu 2.38
Cu (0.5000, 0.5000, 0.2500)  8 Be 2.38
La (0.5000, 0.5000, 0.7500)  4 La 2.97, 8 Be 3.14

Summary:
- M_tot: 0.00 μB per formula unit

=====

B | ## LaBe2Cu (PBE-GGA)

Data for an optimized crystal structure of LaBe2Cu.

a = 4.3883 Å, b = 4.3883 Å, c = 8.3227 Å
α = 74.71°, β = 74.71°, γ = 90.00°
Last column: nearest neighbours and their distance in Å.
Fractional coordinates of all 8 atoms:
Be (0.3750, 0.1250, 0.2500)  2 Be 2.19, 2 Cu 2.22
Be (0.3750, 0.6250, 0.2500)  2 Be 2.19, 2 Cu 2.22
Be (0.3750, 0.6250, 0.7500)  2 Be 2.19, 2 Cu 2.22
Be (0.8750, 0.6250, 0.7500)  2 Be 2.19, 2 Cu 2.22
Cu (0.5000, 0.5000, 0.0000)  4 Be 2.22
Cu (0.2500, 0.7500, 0.5000)  4 Be 2.22
La (0.0000, 0.0000, 0.0000)  4 Cu 3.10, 8 Be 3.12
La (0.7500, 0.2500, 0.5000)  4 Cu 3.10, 8 Be 3.12

Summary:
- M_tot: 0.00 μB per formula unit

=====

Least stable: A

=====

A | ## LiBe2Cu (PBE-GGA)

Data for an optimized crystal structure of LiBe2Cu.

a = 2.6701 Å, b = 3.8644 Å, c = 3.8644 Å
α = 90.00°, β = 90.00°, γ = 90.00°
Last column: nearest neighbours and their distance in Å.
Fractional coordinates of all 4 atoms:
Be (0.0000, 0.0000, 0.0000)  4 Li 2.35, 4 Cu 2.35
Be (0.0000, 0.5000, 0.5000)  4 Li 2.35, 4 Cu 2.35
Cu (0.5000, 0.5000, 0.0000)  8 Be 2.35
Li (0.5000, 0.0000, 0.5000)  8 Be 2.35

Summary:
- M_tot: 0.00 μB per formula unit

=====

B | ## LiBe2Cu (PBE-GGA)

Data for an optimized crystal structure of LiBe2Cu.

a = 8.2687 Å, b = 8.2687 Å, c = 8.2687 Å
α = 17.10°, β = 17.10°, γ = 17.10°
Last column: nearest neighbours and their distance in Å.
Fractional coordinates of all 4 atoms:
Be (0.9950, 0.9950, 0.9950)  3 Cu 2.38, 6 Be 2.46, 3 Li 2.58
Be (0.5050, 0.5050, 0.5050)  3 Cu 2.38, 6 Be 2.46, 3 Li 2.58
Cu (0.2500, 0.2500, 0.2500)  6 Be 2.38, 6 Cu 2.46
Li (0.7500, 0.7500, 0.7500)  6 Li 2.46, 6 Be 2.58

Summary:
- M_tot: 0.00 μB per formula unit

=====

Least stable: B